The following is a PBE-GGA calculation of a relaxed structure of MnSnIrSe, from Alexandria via LeMat-Bulk.

Cell: 4.768 4.768 6.249 Å, 125.97 125.97 45.92°
Atoms (fractional coordinates):
1 Mn 0.000 0.000 0.000
2 Sn 0.589 0.589 0.444
3 Ir 0.350 0.350 0.579
4 Se 0.697 0.697 0.014

Calculated values
Formation energy from raw total energies (eV/atom): -0.006
Excess energy over the best structure of this formula in the dataset (kJ per mole of atoms): 8.14
Space-group type: Cm (8)

The following is a PBE-GGA calculation of a relaxed structure of Rb2ScCdF6, from Alexandria via LeMat-Bulk.

Cell: 6.461 6.461 6.461 Å, 60.00 60.00 60.00°
Atoms (fractional coordinates):
1 Rb 0.250 0.250 0.250
2 Rb 0.750 0.750 0.750
3 Sc 0.000 0.000 0.000
4 Cd 0.500 0.500 0.500
5 F 0.223 0.223 0.777
6 F 0.223 0.777 0.223
7 F 0.223 0.777 0.777
8 F 0.777 0.223 0.223
9 F 0.777 0.223 0.777
10 F 0.777 0.777 0.223

Calculated values
Formation energy from raw total energies (eV/atom): -2.940
Space-group type: Fm-3m (225)

The following is a PBE-GGA calculation of a relaxed structure of PuSc4As5, from Alexandria via LeMat-Bulk.

Cell: 10.398 10.398 10.398 Å, 158.21 148.93 38.27°
Atoms (fractional coordinates):
1 Pu 0.000 0.000 0.000
2 Sc 0.204 0.204 0.000
3 Sc 0.398 0.398 0.000
4 Sc 0.602 0.602 0.000
5 Sc 0.796 0.796 0.000
6 As 0.105 0.605 0.500
7 As 0.300 0.800 0.500
8 As 0.500 0.000 0.500
9 As 0.700 0.200 0.500
10 As 0.895 0.395 0.500

Calculated values
Formation energy from the elements (eV per formula unit): -12.85
Space-group type: Immm (71)

The following is a PBE-GGA calculation of a relaxed structure of Dy4Zn5Ni2, from Alexandria via LeMat-Bulk.

Cell: 6.964 3.646 8.809 Å, 90.00 93.97 90.00°
Atoms (fractional coordinates):
1 Dy 0.170 0.000 0.360
2 Dy 0.243 0.000 0.941
3 Dy 0.757 0.000 0.059
4 Dy 0.830 0.000 0.640
5 Zn 0.194 0.500 0.656
6 Zn 0.441 0.500 0.194
7 Zn 0.500 0.500 0.500
8 Zn 0.559 0.500 0.806
9 Zn 0.806 0.500 0.344
10 Ni 0.065 0.500 0.136
11 Ni 0.935 0.500 0.864

Calculated values
Formation energy from the elements (eV per formula unit): -3.90
Space-group type: P2/m (10)

The following is a PBE-GGA calculation of a relaxed structure of Nb2TlFeIr, from Alexandria via LeMat-Bulk.

Cell: 5.061 5.061 4.841 Å, 90.00 90.00 90.00°
Atoms (fractional coordinates):
1 Nb 0.000 0.500 0.000
2 Nb 0.500 0.000 0.000
3 Tl 0.000 0.000 0.000
4 Fe 0.500 0.500 0.500
5 Ir 0.000 0.000 0.500

Calculated values
Formation energy from the elements (eV per formula unit): 13.14
Space-group type: P4/mmm (123)

The following is a PBE-GGA calculation of a relaxed structure of PmErRhPb, from Alexandria via LeMat-Bulk.

Cell: 5.193 5.193 5.193 Å, 60.00 60.00 60.00°
Atoms (fractional coordinates):
1 Pm 0.000 0.000 0.000
2 Er 0.500 0.500 0.500
3 Rh 0.250 0.250 0.250
4 Pb 0.750 0.750 0.750

Calculated values
Formation energy from the elements (eV per formula unit): -1.94
Space-group type: F-43m (216)

The uncorrected energy results, record by record, are as follows: -25.54; -49.81; -75.76; -40.24; -26.69; -22.31 eV per formula unit.
The total magnetic moment results, record by record, are as follows: 3.5; 1.0; 4.8; 0.0; 0.4; 0.0 μB/f.u..